The following is a DFT calculation (GGA+U) of crystalline MoPb2IO4 at its relaxed geometry.

Cell: 5.410 5.410 10.704 Å, 111.70 111.70 36.48°
Sites, in units of the cell vectors:
Mo 0.000 0.000 0.000
Pb 0.194 0.194 0.797
Pb 0.806 0.806 0.203
I 0.500 0.500 0.500
O 0.138 0.138 0.184
O 0.392 0.392 0.035
O 0.608 0.608 0.965
O 0.862 0.862 0.816

Values from the calculation:
Space group = No. 12
E = -45.04 eV/f.u.